{"formula": "Sr4CaMg", "functional": "PBE", "state": "optimized geometry", "cell": [[-3.3267, -0.1021, 6.3293], [-0.5787, -9.6827, -4.4758], [8.8834, 2.8098, 2.6825]], "species": ["Sr", "Sr", "Sr", "Sr", "Sr", "Sr", "Sr", "Sr", "Ca", "Ca", "Mg", "Mg"], "frac_coords": [[0.0553, 0.1907, 0.8132], [0.7692, 0.7136, 0.6410], [0.2579, 0.6225, 0.8132], [0.3719, 0.9274, 0.6410], [0.6281, 0.0726, 0.3590], [0.7421, 0.3775, 0.1868], [0.2308, 0.2864, 0.3590], [0.9447, 0.8093, 0.1868], [0.3567, 0.6067, 0.2135], [0.6433, 0.3933, 0.7865], [0.2507, 0.0007, 0.0013], [0.7493, 0.9993, 0.9987]], "e_tot_ev_per_cell": -20.208, "polymorph_energy_kj_per_mol_atoms": 4.2, "total_magnetization_mub_per_cell": 0.00, "space_group": "No. 15"}

---

{"formula": "Tl3HgF3", "functional": "PBE", "state": "optimized geometry", "cell": [[-0.7557, -7.5020, -0.0814], [4.6872, -0.4082, -5.8925], [5.8581, -0.6411, 4.7043]], "species": ["Tl", "Tl", "Tl", "Tl", "Tl", "Tl", "Hg", "Hg", "F", "F", "F", "F", "F", "F"], "frac_coords": [[0.0000, 0.2500, 0.5000], [0.0000, 0.7500, 0.5000], [0.5000, 0.0000, 0.7500], [0.7500, 0.5000, 0.0000], [0.5000, 0.0000, 0.2500], [0.2500, 0.5000, 0.0000], [0.5000, 0.5000, 0.5000], [0.0000, 0.0000, 0.0000], [0.2500, 0.0000, 0.5000], [0.0000, 0.5000, 0.2500], [0.5000, 0.7500, 0.0000], [0.7500, 0.0000, 0.5000], [0.0000, 0.5000, 0.7500], [0.5000, 0.2500, 0.0000]], "e_tot_ev_per_cell": -46.013, "polymorph_energy_kj_per_mol_atoms": 3.1, "total_magnetization_mub_per_cell": 0.00, "space_group": "No. 223"}